Entry from the Alexandria database: a relaxed structure of Pm4MgAl12 (PBE).

Calculated values
D(E_F) (states/eV/f.u.): 5.1
Spin magnetization (μB per formula unit): 0.0
Uncorrected energy (eV/cell): -71.99

a = 7.7337 Å, b = 7.7337 Å, c = 7.7337 Å
α = 109.47°, β = 109.47°, γ = 109.47°
Fractional coordinates of all 17 atoms:
Pm 0.0000 0.0000 0.5000
Pm 0.0000 0.5000 0.0000
Pm 0.5000 0.0000 0.0000
Pm 0.5000 0.5000 0.5000
Mg 0.0000 0.0000 0.0000
Al 0.0000 0.3177 0.3177
Al 0.0000 0.6823 0.6823
Al 0.2500 0.5000 0.7500
Al 0.2500 0.7500 0.5000
Al 0.3177 0.0000 0.3177
Al 0.3177 0.3177 0.0000
Al 0.5000 0.2500 0.7500
Al 0.5000 0.7500 0.2500
Al 0.6823 0.0000 0.6823
Al 0.6823 0.6823 0.0000
Al 0.7500 0.2500 0.5000
Al 0.7500 0.5000 0.2500